1.
A plane-wave DFT calculation with PBE was carried out for an optimized crystal structure of CrMoAs2Se.

Cell lengths 4.864, 4.864, 5.011 Å; angles 90.00, 90.00, 90.00 degrees
Element x y z (fractional)
Mo  0.000  0.000  0.000
As  0.000  0.500  0.000
As  0.500  0.000  0.000
Cr  0.500  0.500  0.500
Se  0.000  0.000  0.500

Output
SG: No. 123
Energy above the most stable polymorph in this dataset (meV/atom): 0
Formation energy from raw total energies (meV per atom): 633.6
Magnetization (μB per formula unit): 4.42
Uncorrected energy (eV/atom): -6.01


2.
A plane-wave DFT calculation with PBE was carried out for an optimized crystal structure of Cr2SnMoAs.

Cell lengths 4.400, 4.400, 4.655 Å; angles 90.00, 90.00, 90.00 degrees
Element x y z (fractional)
Mo  0.000  0.000  0.500
Cr  0.000  0.500  0.000
Cr  0.500  0.000  0.000
Sn  0.500  0.500  0.500
As  0.000  0.000  0.000

Output
SG: No. 123
Magnetization (μB per formula unit): 0.00
Uncorrected energy (eV/atom): -6.85
E_form (eV per atom): 0.8982